The following is a PBE calculation of K2LaCl after structural relaxation, from Alexandria.

Unit cell a=9.196 b=9.196 c=9.196 alpha=90.00 beta=90.00 gamma=90.00
Space group Fm-3m (No. 225)
Unique sites:
K: 0.250 0.250 0.250 [8 per cell]
La: 0.000 0.000 0.000 [4 per cell]
Cl: 0.000 0.000 0.500 [4 per cell]

## Properties
- DOS at the Fermi energy: 1.983 states/eV per atom
- Final energy: -2.12 eV/atom
- Formation energy (no corrections): 0.12 eV/atom

***

The following is a PBE calculation of Ac2PrPaP4 after structural relaxation, from Alexandria.

Unit cell a=7.324 b=4.235 c=7.407 alpha=90.00 beta=109.21 gamma=90.00
Space group P2/m (No. 10)
Unique sites:
Ac: 0.000 0.000 0.000 [1 per cell]
Ac: 0.500 0.500 0.000 [1 per cell]
Pr: 0.000 0.500 0.500 [1 per cell]
Pa: 0.500 0.000 0.500 [1 per cell]
P: 0.257 0.000 0.727 [2 per cell]
P: 0.271 0.500 0.279 [2 per cell]

## Properties
- DOS at the Fermi energy: 0.630 states/eV per atom
- Final energy: -6.93 eV/atom
- Formation energy from the elements: -1.41 eV per atom

***

The following is a PBE calculation of LiCaAcLu after structural relaxation, from Alexandria.

Unit cell a=8.201 b=8.201 c=8.201 alpha=90.00 beta=90.00 gamma=90.00
Space group F-43m (No. 216)
Unique sites:
Li: 0.000 0.000 0.000 [4 per cell]
Ca: 0.250 0.250 0.250 [4 per cell]
Ac: 0.250 0.250 0.750 [4 per cell]
Lu: 0.000 0.000 0.500 [4 per cell]

## Properties
- DOS at the Fermi energy: 1.245 states/eV per atom
- Final energy: -2.95 eV/atom
- Formation energy from the elements: 0.18 eV per atom

***

The following is a PBE calculation of Mo2IrRh after structural relaxation, from Alexandria.

Unit cell a=5.646 b=5.646 c=11.203 alpha=90.00 beta=90.00 gamma=90.00
Space group I-42d (No. 122)
Unique sites:
Mo: 0.249 0.250 0.125 [8 per cell]
Ir: 0.000 0.000 0.500 [4 per cell]
Rh: 0.000 0.000 0.000 [4 per cell]

## Properties
- DOS at the Fermi energy: 1.552 states/eV per atom
- Final energy: -8.39 eV/atom
- Formation energy from the elements: 1.08 eV per atom

***

The following is a PBE calculation of Sc2CrRe after structural relaxation, from Alexandria.

Unit cell a=2.880 b=4.341 c=5.670 alpha=90.00 beta=90.00 gamma=90.00
Space group Pmm2 (No. 25)
Unique sites:
Sc: 0.000 0.000 0.000 [1 per cell]
Sc: 0.500 0.500 0.293 [1 per cell]
Cr: 0.000 0.000 0.546 [1 per cell]
Re: 0.500 0.500 0.764 [1 per cell]

## Properties
- DOS at the Fermi energy: 1.185 states/eV per atom
- Final energy: -8.36 eV/atom
- Formation energy from the elements: 0.32 eV per atom